LiSc3Os | PBE | relaxed

Cell lengths 5.088, 5.088, 5.088 Å; angles 90.00, 90.00, 90.00 degrees
Space group Pm-3m (No. 221)
One atom of each set of equivalent atoms:
Li1 0.000 0.000 0.000 [1 per cell]
Sc1 0.000 0.500 0.500 [3 per cell]
Os1 0.500 0.500 0.500 [1 per cell]

Computed properties:
- size of the total moment (μB per formula unit) = 0.0
- energy relative to the elements (eV per formula unit) = 0.1



Sm2Er6Tm3 | PBE | relaxed

Cell lengths 4.687, 4.687, 32.845 Å; angles 90.00, 90.00, 90.00 degrees
Space group I4/mmm (No. 139)
One atom of each set of equivalent atoms:
Sm1 0.000 0.000 0.046 [4 per cell]
Er1 0.000 0.000 0.196 [4 per cell]
Er2 0.000 0.500 0.122 [8 per cell]
Tm1 0.000 0.000 0.299 [4 per cell]
Tm2 0.000 0.000 0.500 [2 per cell]

Computed properties:
- size of the total moment (μB per formula unit) = 0.0
- energy relative to the elements (eV per formula unit) = 3.1



Tb4Pm5Ho4 | PBE | relaxed

Cell lengths 12.936, 12.936, 5.053 Å; angles 90.00, 90.00, 90.00 degrees
Space group I4/m (No. 87)
One atom of each set of equivalent atoms:
Tb1 0.155 0.768 0.000 [8 per cell]
Pm1 0.000 0.000 0.000 [2 per cell]
Pm2 0.038 0.195 0.500 [8 per cell]
Ho1 0.076 0.386 0.000 [8 per cell]

Computed properties:
- size of the total moment (μB per formula unit) = 0.0
- energy relative to the elements (eV per formula unit) = 0.2



Question: The lowest energy relative to the elements belongs to which entry?
Answer: LiSc3Os



Question: Which value of size of the total moment does entry 3 give?
Answer: 0.0 μB per formula unit



Question: Which value of energy relative to the elements does entry 3 give?
Answer: 0.2 eV per formula unit